(1)
LiScIr2, optimized geometry, DFT PBE; calculated volume = 14.72 A^3/atom; ΔE_f = -0.48 eV/atom
1.0
3.114 0.000 0.000
0.000 3.114 0.000
0.000 0.000 6.073
Li Sc Ir
1 1 2
direct
0.000 0.000 0.000 Li
0.000 0.000 0.500 Sc
0.500 0.500 0.228 Ir
0.500 0.500 0.772 Ir


(2)
Pr3Cd4Pd4, optimized geometry, DFT PBE; calculated volume = 23.19 A^3/atom; ΔE_f = -0.58 eV/atom
1.0
-2.107 4.018 7.530
2.107 -4.018 7.530
2.107 4.018 -7.530
Pr Cd Pd
3 4 4
direct
0.000 0.000 0.000 Pr
0.379 0.879 0.500 Pr
0.621 0.121 0.500 Pr
0.022 0.329 0.693 Cd
0.364 0.671 0.693 Cd
0.636 0.329 0.307 Cd
0.978 0.671 0.307 Cd
0.228 0.228 0.000 Pd
0.315 0.500 0.815 Pd
0.685 0.500 0.185 Pd
0.772 0.772 0.000 Pd


no.,spin magnetization (μB per atom)
1,0.00
2,0.00